Computed, not measured: an optimized crystal structure of NaCa2MnO4 at the GGA+U level of DFT.

Cell lengths 6.135, 6.135, 11.697 Å; angles 90.00, 90.00, 147.97 degrees
Positions (direct):
Na1 0.107 0.893 0.750
Na2 0.893 0.107 0.250
Ca1 0.373 0.627 0.532
Ca2 0.373 0.627 0.968
Ca3 0.627 0.373 0.032
Ca4 0.627 0.373 0.468
Mn1 0.156 0.844 0.250
Mn2 0.844 0.156 0.750
O1 0.000 0.000 0.000
O2 0.000 0.000 0.500
O3 0.252 0.748 0.122
O4 0.252 0.748 0.378
O5 0.436 0.564 0.750
O6 0.564 0.436 0.250
O7 0.748 0.252 0.622
O8 0.748 0.252 0.878

Properties
E_tot: -6.177 eV per atom
calculated volume: 14.596 Å³/atom
DOS at the Fermi energy: 0.250 states/eV/atom
SG: Cmcm, No. 63